1.
## LiCa3La2S6 (PBE)

Data for an optimized crystal structure of LiCa3La2S6.

Results
Fermi-level density of states = 3.6 states/eV/cell
spin magnetization = 0.00 μB per formula unit
E_form (uncorrected) = -2023 meV/atom
mass density = 3477 kg/m3

```
LiCa3La2S6
1.0
3.518 -6.092 0.000
3.518 6.092 0.000
-2.342 0.000 6.656
Li Ca La S
1 3 2 6
direct
0.000 0.000 0.000
0.165 0.835 0.500
0.500 0.500 0.500
0.835 0.165 0.500
0.333 0.667 0.000
0.667 0.333 0.000
0.085 0.415 0.254
0.246 0.246 0.748
0.415 0.085 0.254
0.585 0.915 0.746
0.754 0.754 0.252
0.915 0.585 0.746
```

---

2.
## CaZr2Cl (PBE)

Data for an optimized crystal structure of CaZr2Cl.

Results
Fermi-level density of states = 3.5 states/eV/cell
offset from the most stable computed form = 46.1 kJ/mol of atoms
spin magnetization = 0.00 μB per formula unit
E_form (uncorrected) = -1 meV/atom
mass density = 4563 kg/m3

```
CaZr2Cl
1.0
3.213 0.000 0.000
0.000 3.213 0.000
0.000 0.000 9.096
Ca Zr Cl
1 2 1
direct
0.000 0.000 0.000
0.500 0.500 0.308
0.500 0.500 0.692
0.000 0.000 0.500
```

---

3.
## InSbSe (PBE)

Data for an optimized crystal structure of InSbSe.

Results
Fermi-level density of states = 2.0 states/eV/cell
spin magnetization = 0.00 μB per formula unit
E_form (uncorrected) = -182 meV/atom
mass density = 6190 kg/m3

```
InSbSe
1.0
6.516 -2.054 0.000
6.516 2.054 0.000
-0.464 0.000 6.325
In Sb Se
2 2 2
direct
0.000 0.000 0.000
0.658 0.658 0.520
0.327 0.327 0.586
0.330 0.330 0.034
0.018 0.018 0.559
0.643 0.643 0.076
```

---

Q: The highest mass density belongs to which entry?
A: InSbSe

---

Repeat the second record exactly.
## CaZr2Cl (PBE)

Data for an optimized crystal structure of CaZr2Cl.

Results
Fermi-level density of states = 3.5 states/eV/cell
offset from the most stable computed form = 46.1 kJ/mol of atoms
spin magnetization = 0.00 μB per formula unit
E_form (uncorrected) = -1 meV/atom
mass density = 4563 kg/m3

```
CaZr2Cl
1.0
3.213 0.000 0.000
0.000 3.213 0.000
0.000 0.000 9.096
Ca Zr Cl
1 2 1
direct
0.000 0.000 0.000
0.500 0.500 0.308
0.500 0.500 0.692
0.000 0.000 0.500
```

---

Q: The highest mass density belongs to which entry?
A: InSbSe